Crystalline CoHgP2O8 at its relaxed geometry, computed with PBE with a Hubbard U.

```
CoHgP2O8
1.0
-3.765 -2.387 -1.247
-0.099 -2.207 -4.068
1.469 -7.549 1.425
P O Co Hg
2 8 1 1
direct
0.738 0.738 0.785
0.262 0.262 0.215
0.613 0.261 0.154
0.387 0.739 0.846
0.809 0.809 0.572
0.972 0.613 0.154
0.191 0.191 0.428
0.028 0.387 0.846
0.261 0.972 0.154
0.739 0.028 0.846
0.000 0.000 0.000
0.500 0.500 0.500
```

Calculated values
DFT total energy, eV per atom: -6.029
Magnetic moment, μB per formula unit: 1.1